Density functional theory data (GGA-PBE) for Dy2Er3Se8 after structural relaxation.

Lattice parameters (Å, degrees): 6.943 8.152 8.199 119.81 106.77 90.00
Element x y z (fractional)
Se1 0.587 0.117 0.755
Er1 0.000 0.261 0.000
Se2 0.413 0.883 0.245
Se3 0.413 0.362 0.245
Se4 0.910 0.620 0.239
Se5 0.078 0.882 0.764
Er2 0.000 0.739 0.000
Dy1 0.663 0.742 0.485
Er3 0.500 0.000 0.000
Dy2 0.337 0.258 0.515
Se6 0.922 0.118 0.236
Se7 0.587 0.638 0.755
Se8 0.090 0.380 0.761

Output
Fermi-level density of states	0.489	states/eV/atom
E	-73.0	eV/cell
SG	No. 12
uncorrected formation energy	-1710	meV/atom